Density functional theory data (PBE with a Hubbard U) for an optimized crystal structure of PmNiC2O6.

a b c (Å): 4.890 4.890 6.128
angles (deg): 66.49 66.49 60.00
Fractional positions:
1 Pm 0.000 0.000 0.000
2 Ni 0.500 0.500 0.500
3 C 0.758 0.758 0.726
4 C 0.242 0.242 0.274
5 O 0.038 0.505 0.738
6 O 0.719 0.038 0.738
7 O 0.495 0.281 0.262
8 O 0.962 0.495 0.262
9 O 0.281 0.962 0.262
10 O 0.505 0.719 0.738

Calculated values
* space group: R-3
* total DFT energy (no corrections): -72.072 eV per cell